#a
Na4B5C3: optimized geometry, PBE.

Cell: 8.9848 8.9848 5.0032 Å, 90.02 90.02 36.96°
Atoms (fractional coordinates):
Na 0.0000 0.0000 0.0000
Na 0.0000 0.5000 0.5000
Na 0.2488 0.2488 0.0021
Na 0.2498 0.7502 0.5000
Na 0.5000 0.0000 0.5000
Na 0.5000 0.5000 0.0000
Na 0.7502 0.2498 0.5000
Na 0.7512 0.7512 0.9979
B 0.1252 0.1252 0.3196
B 0.1254 0.1254 0.6598
B 0.1364 0.6137 0.1556
B 0.3753 0.3753 0.6637
B 0.3863 0.8636 0.8444
B 0.6137 0.1364 0.1556
B 0.6247 0.6247 0.3363
B 0.8636 0.3863 0.8444
B 0.8746 0.8746 0.3402
B 0.8748 0.8748 0.6804
C 0.1299 0.6201 0.8349
C 0.3756 0.3756 0.3349
C 0.3799 0.8701 0.1651
C 0.6201 0.1299 0.8349
C 0.6244 0.6244 0.6651
C 0.8701 0.3799 0.1651

DOS at the Fermi energy: 0.9 states/eV/f.u.
symmetry: No. 12
total magnetization: 0.000 Bohr magnetons per cell

#b
Na4B5C3: optimized geometry, PBE.

Cell: 9.0005 9.0005 9.0005 Å, 162.00 37.47 147.41°
Atoms (fractional coordinates):
Na 0.1259 0.0000 0.1259
Na 0.3714 0.9983 0.3731
Na 0.6252 0.9983 0.6269
Na 0.8741 0.0000 0.8741
B 0.0798 0.3298 0.7500
B 0.1771 0.6771 0.5000
B 0.5798 0.3298 0.2500
B 0.6369 0.6369 0.0000
B 0.8448 0.3448 0.5000
C 0.3329 0.3329 0.0000
C 0.4141 0.6642 0.7499
C 0.9143 0.6642 0.2501

DOS at the Fermi energy: 1.7 states/eV/f.u.
symmetry: No. 44
total magnetization: 0.000 Bohr magnetons per cell

#c
Na4B5C3: optimized geometry, PBE.

Cell: 9.9286 2.8024 9.9469 Å, 90.00 118.69 90.00°
Atoms (fractional coordinates):
Na 0.0000 0.0000 0.0000
Na 0.0000 0.5000 0.5000
Na 0.2468 0.0000 0.7471
Na 0.2487 0.5000 0.2535
Na 0.5000 0.0000 0.5000
Na 0.5000 0.5000 0.0000
Na 0.7513 0.5000 0.7465
Na 0.7532 0.0000 0.2529
B 0.0291 0.5000 0.7773
B 0.2002 0.5000 0.9494
B 0.2123 0.0000 0.4627
B 0.3131 0.0000 0.0642
B 0.4521 0.5000 0.7003
B 0.5479 0.5000 0.2997
B 0.6869 0.0000 0.9358
B 0.7877 0.0000 0.5373
B 0.7998 0.5000 0.0506
B 0.9709 0.5000 0.2227
C 0.0511 0.0000 0.3034
C 0.2932 0.5000 0.5422
C 0.4657 0.0000 0.2182
C 0.5343 0.0000 0.7818
C 0.7068 0.5000 0.4578
C 0.9489 0.0000 0.6966

DOS at the Fermi energy: 1.5 states/eV/f.u.
symmetry: No. 10
total magnetization: 0.000 Bohr magnetons per cell

#d
Na4B5C3: optimized geometry, PBE.

Cell: 8.9564 8.9564 10.0674 Å, 106.12 106.12 18.22°
Atoms (fractional coordinates):
Na 0.0000 0.0000 0.0000
Na 0.0000 0.0000 0.5000
Na 0.2489 0.2489 0.6251
Na 0.2498 0.2498 0.1242
Na 0.4998 0.4998 0.2488
Na 0.5002 0.5002 0.7512
Na 0.7502 0.7502 0.8758
Na 0.7511 0.7511 0.3749
B 0.1244 0.1244 0.3815
B 0.1254 0.1254 0.9017
B 0.3747 0.3747 0.3395
B 0.3753 0.3753 0.8580
B 0.3759 0.3759 0.5190
B 0.6241 0.6241 0.4810
B 0.6247 0.6247 0.1420
B 0.6253 0.6253 0.6605
B 0.8746 0.8746 0.0983
B 0.8756 0.8756 0.6185
C 0.1244 0.1244 0.2214
C 0.1262 0.1262 0.7391
C 0.3748 0.3748 0.0198
C 0.6252 0.6252 0.9802
C 0.8738 0.8738 0.2609
C 0.8756 0.8756 0.7786

DOS at the Fermi energy: 1.3 states/eV/f.u.
symmetry: No. 12
total magnetization: 0.000 Bohr magnetons per cell

The energy of each structure relative to the most stable one, in meV per atom, is as follows: #a 33; #b 18; #c 0; #d 9.

#a
Na4B5C3: optimized geometry, PBE.

Cell: 5.6950 5.0044 8.9845 Å, 90.00 108.51 90.00°
Atoms (fractional coordinates):
Na 0.1250 0.2486 0.0001
Na 0.1250 0.7514 0.5001
Na 0.3736 0.2504 0.4973
Na 0.3736 0.7496 0.9973
Na 0.6264 0.2504 0.0027
Na 0.6264 0.7496 0.5027
Na 0.8750 0.2486 0.4999
Na 0.8750 0.7514 0.9999
B 0.0000 0.0693 0.2500
B 0.0000 0.4098 0.2500
B 0.0000 0.5902 0.7500
B 0.0000 0.9307 0.7500
B 0.2617 0.4055 0.7506
B 0.2617 0.5945 0.2506
B 0.5000 0.0859 0.2500
B 0.5000 0.9141 0.7500
B 0.7383 0.4055 0.7494
B 0.7383 0.5945 0.2494
C 0.2553 0.0853 0.7508
C 0.2553 0.9147 0.2508
C 0.5000 0.4151 0.2500
C 0.5000 0.5849 0.7500
C 0.7447 0.0853 0.7492
C 0.7447 0.9147 0.2492

DOS at the Fermi energy: 1.0 states/eV/f.u.
symmetry: No. 13
total magnetization: 0.000 Bohr magnetons per cell

#b
Na4B5C3: optimized geometry, PBE.

Cell: 5.0601 2.8101 17.0563 Å, 90.00 90.03 90.00°
Atoms (fractional coordinates):
Na 0.2482 0.2500 0.2471
Na 0.2481 0.2500 0.4991
Na 0.2500 0.2500 0.0000
Na 0.2499 0.2500 0.7539
Na 0.7500 0.7500 0.0000
Na 0.7501 0.7500 0.2461
Na 0.7519 0.7500 0.5009
Na 0.7518 0.7500 0.7529
B 0.0706 0.7500 0.3732
B 0.0804 0.7500 0.8769
B 0.3875 0.7500 0.6269
B 0.4017 0.7500 0.3731
B 0.4196 0.7500 0.1231
B 0.5804 0.2500 0.8769
B 0.5983 0.2500 0.6269
B 0.6125 0.2500 0.3731
B 0.9196 0.2500 0.1231
B 0.9294 0.2500 0.6268
C 0.0852 0.7500 0.1231
C 0.0850 0.7500 0.6269
C 0.4149 0.7500 0.8770
C 0.5851 0.2500 0.1230
C 0.9150 0.2500 0.3731
C 0.9148 0.2500 0.8769

DOS at the Fermi energy: 1.1 states/eV/f.u.
symmetry: No. 11
total magnetization: 0.000 Bohr magnetons per cell

The energy of each structure relative to the most stable one, in meV per atom, is as follows: #a 17; #b 0.

#a
Na4B5C3: optimized geometry, PBE.

Cell: 5.0044 5.6951 8.9919 Å, 99.09 106.13 90.00°
Atoms (fractional coordinates):
Na 0.0000 0.0000 0.0000
Na 0.0000 0.5000 0.0000
Na 0.2490 0.1243 0.4972
Na 0.2487 0.6249 0.5001
Na 0.4964 0.7493 0.9973
Na 0.5036 0.2507 0.0027
Na 0.7513 0.3751 0.4999
Na 0.7510 0.8757 0.5028
B 0.0388 0.1876 0.7497
B 0.0554 0.6873 0.7499
B 0.2846 0.3126 0.2495
B 0.4694 0.5741 0.2497
B 0.4697 0.0510 0.2502
B 0.5303 0.9490 0.7498
B 0.5306 0.4259 0.7503
B 0.7154 0.6874 0.7505
B 0.9446 0.3127 0.2501
B 0.9612 0.8124 0.2503
C 0.2101 0.4324 0.7500
C 0.2097 0.9423 0.7494
C 0.2902 0.8124 0.2503
C 0.7098 0.1876 0.7497
C 0.7903 0.0577 0.2506
C 0.7899 0.5676 0.2500

DOS at the Fermi energy: 1.0 states/eV/f.u.
symmetry: No. 2
total magnetization: 0.000 Bohr magnetons per cell

#b
Na4B5C3: optimized geometry, PBE.

Cell: 2.8098 8.5344 10.1181 Å, 90.00 90.00 90.00°
Atoms (fractional coordinates):
Na 0.2500 0.0014 0.1241
Na 0.2500 0.4986 0.1241
Na 0.2500 0.5033 0.6272
Na 0.2500 0.9967 0.6272
Na 0.7500 0.0033 0.3728
Na 0.7500 0.4967 0.3728
Na 0.7500 0.5014 0.8759
Na 0.7500 0.9986 0.8759
B 0.2500 0.2500 0.2789
B 0.2500 0.2500 0.4512
B 0.2500 0.2500 0.7982
B 0.2500 0.7500 0.4376
B 0.2500 0.7500 0.9624
B 0.7500 0.2500 0.0376
B 0.7500 0.2500 0.5624
B 0.7500 0.7500 0.2018
B 0.7500 0.7500 0.5488
B 0.7500 0.7500 0.7211
C 0.2500 0.2500 0.9574
C 0.2500 0.7500 0.2832
C 0.2500 0.7500 0.8018
C 0.7500 0.2500 0.1982
C 0.7500 0.2500 0.7168
C 0.7500 0.7500 0.0426

DOS at the Fermi energy: 1.7 states/eV/f.u.
symmetry: No. 59
total magnetization: 0.000 Bohr magnetons per cell

The energy of each structure relative to the most stable one, in meV per atom, is as follows: #a 33; #b 0.

#a
Na4B5C3: optimized geometry, PBE.

Cell: 2.8635 2.8635 34.0043 Å, 90.00 90.00 120.00°
Atoms (fractional coordinates):
Na 0.0000 0.0000 0.0618
Na 0.0000 0.0000 0.1854
Na 0.0000 0.0000 0.3097
Na 0.0000 0.0000 0.4374
Na 0.0000 0.0000 0.5626
Na 0.0000 0.0000 0.6903
Na 0.0000 0.0000 0.8146
Na 0.0000 0.0000 0.9382
B 0.3333 0.6667 0.0000
B 0.3333 0.6667 0.2471
B 0.3333 0.6667 0.3735
B 0.3333 0.6667 0.5000
B 0.3333 0.6667 0.6265
B 0.3333 0.6667 0.7529
B 0.6667 0.3333 0.1235
B 0.6667 0.3333 0.3735
B 0.6667 0.3333 0.6265
B 0.6667 0.3333 0.8765
C 0.3333 0.6667 0.1235
C 0.3333 0.6667 0.8765
C 0.6667 0.3333 0.0000
C 0.6667 0.3333 0.2470
C 0.6667 0.3333 0.5000
C 0.6667 0.3333 0.7530

DOS at the Fermi energy: 1.5 states/eV/f.u.
symmetry: No. 187
total magnetization: 0.000 Bohr magnetons per cell

#b
Na4B5C3: optimized geometry, PBE.

Cell: 17.2679 17.2679 5.0485 Å, 98.40 98.40 9.37°
Atoms (fractional coordinates):
Na 0.0000 0.0000 0.0000
Na 0.1262 0.1262 0.1247
Na 0.2500 0.2500 0.2500
Na 0.3734 0.3734 0.3734
Na 0.5000 0.5000 0.5000
Na 0.6266 0.6266 0.6266
Na 0.7500 0.7500 0.7500
Na 0.8738 0.8738 0.8753
B 0.0633 0.0633 0.4237
B 0.1883 0.1883 0.8572
B 0.3117 0.3117 0.6428
B 0.4367 0.4367 0.1156
B 0.4368 0.4368 0.7824
B 0.5632 0.5632 0.2176
B 0.5633 0.5633 0.8844
B 0.6883 0.6883 0.3572
B 0.8117 0.8117 0.1428
B 0.9367 0.9367 0.5763
C 0.0634 0.0634 0.7284
C 0.1884 0.1884 0.5230
C 0.3117 0.3117 0.9770
C 0.6883 0.6883 0.0230
C 0.8116 0.8116 0.4770
C 0.9366 0.9366 0.2716

DOS at the Fermi energy: 2.2 states/eV/f.u.
symmetry: No. 12
total magnetization: 0.000 Bohr magnetons per cell

#c
Na4B5C3: optimized geometry, PBE.

Cell: 5.7321 5.7321 8.5191 Å, 90.00 90.00 120.00°
Atoms (fractional coordinates):
Na 0.0000 0.0000 0.0000
Na 0.0000 0.0000 0.5000
Na 0.0000 0.5000 0.0000
Na 0.0000 0.5000 0.5000
Na 0.5000 0.0000 0.0000
Na 0.5000 0.0000 0.5000
Na 0.5000 0.5000 0.0000
Na 0.5000 0.5000 0.5000
B 0.1598 0.3197 0.2500
B 0.1598 0.8402 0.2500
B 0.3197 0.1598 0.7500
B 0.3333 0.6667 0.2500
B 0.3333 0.6667 0.7500
B 0.6667 0.3333 0.2500
B 0.6667 0.3333 0.7500
B 0.6803 0.8402 0.2500
B 0.8402 0.1598 0.7500
B 0.8402 0.6803 0.7500
C 0.1668 0.3336 0.7500
C 0.1668 0.8332 0.7500
C 0.3336 0.1668 0.2500
C 0.6664 0.8332 0.7500
C 0.8332 0.1668 0.2500
C 0.8332 0.6664 0.2500

DOS at the Fermi energy: 2.1 states/eV/f.u.
symmetry: No. 194
total magnetization: 0.000 Bohr magnetons per cell

The energy of each structure relative to the most stable one, in meV per atom, is as follows: #a 16; #b 0; #c 26.

#a
Na8B9C7: optimized geometry, PBE.

Cell: 9.7882 5.6869 8.9239 Å, 80.83 35.00 64.17°
Atoms (fractional coordinates):
Na 0.1253 0.3750 0.1253
Na 0.1253 0.8747 0.1253
Na 0.3736 0.6266 0.3734
Na 0.3750 0.1253 0.3744
Na 0.6256 0.8747 0.6250
Na 0.6266 0.3736 0.6264
Na 0.8747 0.1253 0.8747
Na 0.8747 0.6256 0.8747
B 0.1668 0.1668 0.8332
B 0.3397 0.3397 0.6603
B 0.3397 0.8207 0.6603
B 0.4167 0.4167 0.0833
B 0.4169 0.9167 0.0833
B 0.8207 0.3397 0.1793
B 0.8334 0.8334 0.1666
B 0.9167 0.4169 0.5831
B 0.9167 0.9167 0.5833
C 0.0835 0.0835 0.4165
C 0.0832 0.5836 0.4164
C 0.1669 0.6667 0.8331
C 0.5835 0.5835 0.9165
C 0.5836 0.0832 0.9168
C 0.6667 0.1669 0.3333
C 0.6668 0.6668 0.3332

DOS at the Fermi energy: 7.0 states/eV/f.u.
symmetry: No. 42
total magnetization: 0.158 Bohr magnetons per cell

#b
Na8B9C7: optimized geometry, PBE.

Cell: 2.8144 9.8260 9.8260 Å, 119.25 90.00 90.00°
Atoms (fractional coordinates):
Na 0.0000 0.1253 0.8747
Na 0.0000 0.3709 0.6229
Na 0.0000 0.6229 0.3709
Na 0.0000 0.8747 0.1253
Na 0.5000 0.1227 0.3731
Na 0.5000 0.3731 0.1227
Na 0.5000 0.6206 0.8752
Na 0.5000 0.8752 0.6206
B 0.0000 0.3348 0.3348
B 0.0000 0.4140 0.9140
B 0.0000 0.8103 0.8103
B 0.0000 0.9140 0.4140
B 0.5000 0.0937 0.0937
B 0.5000 0.1648 0.6633
B 0.5000 0.5740 0.5740
B 0.5000 0.6633 0.1648
B 0.5000 0.9232 0.9232
C 0.0000 0.0817 0.5799
C 0.0000 0.1742 0.1742
C 0.0000 0.5799 0.0817
C 0.0000 0.6558 0.6558
C 0.5000 0.3314 0.8301
C 0.5000 0.4148 0.4148
C 0.5000 0.8301 0.3314

DOS at the Fermi energy: 3.1 states/eV/f.u.
symmetry: No. 38
total magnetization: 0.000 Bohr magnetons per cell

#c
Na8B9C7: optimized geometry, PBE.

Cell: 8.9197 8.9197 9.9121 Å, 106.14 106.14 18.24°
Atoms (fractional coordinates):
Na 0.0000 0.0000 0.0000
Na 0.9996 0.9996 0.4992
Na 0.2508 0.2508 0.1252
Na 0.2506 0.2506 0.6249
Na 0.4997 0.4997 0.2494
Na 0.5010 0.5010 0.7500
Na 0.7492 0.7492 0.8739
Na 0.7512 0.7512 0.3753
B 0.1250 0.1250 0.7161
B 0.1252 0.1252 0.8934
B 0.1255 0.1255 0.2335
B 0.3754 0.3754 0.0211
B 0.3751 0.3751 0.5212
B 0.6252 0.6252 0.4742
B 0.6254 0.6254 0.9931
B 0.8748 0.8748 0.7712
B 0.8757 0.8757 0.2711
C 0.1254 0.1254 0.3959
C 0.3746 0.3746 0.8545
C 0.3756 0.3756 0.3549
C 0.6249 0.6249 0.6376
C 0.6256 0.6256 0.1539
C 0.8748 0.8748 0.6046
C 0.8761 0.8761 0.1051

DOS at the Fermi energy: 4.1 states/eV/f.u.
symmetry: No. 8
total magnetization: 0.000 Bohr magnetons per cell

The energy of each structure relative to the most stable one, in meV per atom, is as follows: #a 18; #b 0; #c 6.